(1)
Crystalline NaIn2SnHg2 at its relaxed geometry, computed with GGA-PBE.

## Properties
As for the space group: No. 26. The formation energy from the elements is -82 meV per atom.

Unit cell a=4.729 b=7.741 c=8.881 alpha=90.00 beta=90.00 gamma=90.00
Element x y z (fractional)
Na 0.000 0.958 0.405
Na 0.000 0.458 0.595
In 0.500 0.051 0.091
In 0.000 0.377 0.228
In 0.500 0.551 0.909
In 0.000 0.877 0.772
Sn 0.500 0.141 0.726
Sn 0.500 0.641 0.274
Hg 0.000 0.277 0.916
Hg 0.500 0.242 0.403
Hg 0.000 0.777 0.084
Hg 0.500 0.742 0.597

(2)
Crystalline Tb2PuIr at its relaxed geometry, computed with GGA-PBE.

## Properties
As for the space group: No. 166. The formation energy from the elements is -15 meV per atom. As for the offset from the most stable computed form: 297.3 meV per atom.

Unit cell a=3.755 b=3.755 c=10.572 alpha=79.77 beta=79.77 gamma=60.00
Last column: magnetic moment on the atom in μB.
Element x y z (fractional)
Ir 0.500 0.500 0.500  0.02
Tb 0.113 0.113 0.662  0.07
Tb 0.887 0.887 0.338  0.07
Pu 0.000 0.000 0.000  5.86

(3)
Crystalline Sc2CoBiC at its relaxed geometry, computed with GGA-PBE.

## Properties
As for the space group: No. 123. The formation energy from the elements is -378 meV per atom.

Unit cell a=4.672 b=4.672 c=3.886 alpha=90.00 beta=90.00 gamma=90.00
Last column: magnetic moment on the atom in μB.
Element x y z (fractional)
Sc 0.000 0.500 0.000  0.08
Sc 0.500 0.000 0.000  0.08
C 0.000 0.000 0.000  0.04
Co 0.000 0.000 0.500  1.29
Bi 0.500 0.500 0.500  0.06

(4)
Crystalline Pr6Ge2S3Cl at its relaxed geometry, computed with GGA-PBE.

## Properties
As for the space group: No. 12. For the total energy, the calculation gives -0.436 Ry/atom.

Unit cell a=4.199 b=8.461 c=9.389 alpha=102.35 beta=102.92 gamma=90.00
Element x y z (fractional)
Pr 0.326 0.910 0.653
Pr 0.667 0.585 0.333
Pr 0.674 0.090 0.347
Pr 0.001 0.273 0.003
Pr 0.999 0.727 0.997
Pr 0.333 0.415 0.667
Ge 0.835 0.670 0.670
Ge 0.165 0.330 0.330
S 0.500 0.500 0.000
S 0.836 0.163 0.672
S 0.164 0.837 0.328
Cl 0.500 0.000 0.000

(5)
Crystalline Ti2CuPd at its relaxed geometry, computed with GGA-PBE.

## Properties
As for the space group: No. 123. The formation energy from the elements is -292 meV per atom.

Unit cell a=3.968 b=3.884 c=3.884 alpha=90.00 beta=90.00 gamma=90.00
Last column: magnetic moment on the atom in μB.
Element x y z (fractional)
Cu 0.500 0.000 0.000  0.01
Pd 0.500 0.500 0.500  0.01
Ti 0.000 0.000 0.500  0.28
Ti 0.000 0.500 0.000  0.28

(6)
Crystalline Er2Zn9Pt3 at its relaxed geometry, computed with GGA-PBE.

## Properties
As for the space group: No. 15. The formation energy from the elements is -539 meV per atom.

Unit cell a=7.724 b=7.724 c=10.312 alpha=89.17 beta=111.00 gamma=122.74
Element x y z (fractional)
Er 0.365 0.256 0.763
Er 0.635 0.744 0.237
Er 0.993 0.602 0.737
Er 0.007 0.398 0.263
Zn 0.484 0.940 0.746
Zn 0.516 0.060 0.254
Zn 0.694 0.739 0.754
Zn 0.306 0.261 0.246
Zn 0.449 0.656 0.902
Zn 0.551 0.344 0.098
Zn 0.254 0.547 0.598
Zn 0.746 0.453 0.402
Zn 0.908 0.158 0.750
Zn 0.092 0.842 0.250
Zn 0.128 0.988 0.948
Zn 0.872 0.012 0.052
Zn 0.540 0.181 0.552
Zn 0.460 0.819 0.448
Zn 0.877 0.878 0.573
Zn 0.123 0.122 0.427
Zn 0.805 0.304 0.927
Zn 0.195 0.696 0.073
Pt 0.500 0.000 0.000
Pt 0.500 0.500 0.500
Pt 0.866 0.193 0.491
Pt 0.134 0.807 0.509
Pt 0.203 0.375 0.009
Pt 0.797 0.625 0.991

Number 1: total magnetic moment 0.00 μB/atom, V 325.09 Å³/cell, density of states at the Fermi level 4.7 states/eV/cell. Number 2: total magnetic moment 1.69 μB/atom, V 126.36 Å³/cell, density of states at the Fermi level 11.7 states/eV/cell. Number 3: total magnetic moment 0.32 μB/atom, V 84.82 Å³/cell, density of states at the Fermi level 3.5 states/eV/cell. Number 4: total magnetic moment 0.00 μB/atom, V 317.19 Å³/cell, density of states at the Fermi level 4.0 states/eV/cell. Number 5: total magnetic moment 0.17 μB/atom, V 59.86 Å³/cell, density of states at the Fermi level 4.5 states/eV/cell. Number 6: total magnetic moment 0.00 μB/atom, V 470.33 Å³/cell, density of states at the Fermi level 14.2 states/eV/cell.